[1]
Material: ScGa4CoNi2
Method: DFT, PBE-GGA
State: relaxed

Calculated values
* spin magnetization: 0.4 μB per formula unit
* space-group type: R-3m, No. 166
* crystal system: trigonal
* DFT formation energy: -398 meV/atom

Cell lengths 4.045, 4.045, 8.523 Å; angles 76.27, 76.27, 60.00 degrees
Last column: magnetic moment on the atom in μB.
Fractional positions:
Sc  0.000  0.000  0.000  0.00
Ni  0.764  0.764  0.708  0.05
Ni  0.236  0.236  0.292  0.05
Ga  0.132  0.132  0.605  0.00
Ga  0.868  0.868  0.395  0.00
Ga  0.602  0.602  0.194  0.00
Ga  0.398  0.398  0.806  0.00
Co  0.500  0.500  0.500  0.29



[2]
Material: LiLuIn2
Method: DFT, PBE-GGA
State: relaxed

Calculated values
* spin magnetization: 0.0 μB per formula unit
* space-group type: P4/mmm, No. 123
* crystal system: tetragonal
* DFT formation energy: -366 meV/atom

Cell lengths 3.777, 4.945, 4.945 Å; angles 90.00, 90.00, 90.00 degrees
Fractional positions:
Li  0.500  0.000  0.000
In  0.000  0.000  0.500
In  0.000  0.500  0.000
Lu  0.500  0.500  0.500



[3]
Material: MgCd2Cu
Method: DFT, PBE-GGA
State: relaxed

Calculated values
* spin magnetization: 0.0 μB per formula unit
* space-group type: F-43m, No. 216
* crystal system: cubic
* DFT formation energy: 17 meV/atom

Cell lengths 4.718, 4.718, 4.719 Å; angles 60.00, 60.00, 60.00 degrees
Fractional positions:
Cd  0.250  0.250  0.250
Cd  0.000  0.000  0.000
Cu  0.750  0.750  0.750
Mg  0.500  0.500  0.500